# BaYNbTe2

Crystalline BaYNbTe2 at its relaxed geometry (GGA-PBE, Alexandria).

ΔE_f (raw): 0.640 eV per atom
space-group type: No. 123
ρ: 4.4 Mg/m³
Fermi-level density of states: 6.47 states/eV per cell

a = 5.7985 Å, b = 6.3990 Å, c = 5.7985 Å
α = 90.00°, β = 90.00°, γ = 90.00°
Atoms (fractional coordinates):
Nb1 0.5000 0.5000 0.5000
Ba1 0.0000 0.5000 0.0000
Te1 0.5000 0.0000 0.0000
Te2 0.0000 0.0000 0.5000
Y1 0.0000 0.0000 0.0000